Here is CrCdF3 after structural relaxation from Alexandria via LeMat-Bulk. Energies are from PBE+U.

a b c (Å): 4.4154 4.4154 4.4154
angles (deg): 90.00 90.00 90.00
Last column: nearest neighbours and their distance in Å.
Sites, in units of the cell vectors:
1 Cr 0.0000 0.0000 0.0000  12 F 3.12
2 Cd 0.5000 0.5000 0.5000  6 F 2.21
3 F 0.0000 0.5000 0.5000  2 Cd 2.21
4 F 0.5000 0.0000 0.5000  2 Cd 2.21
5 F 0.5000 0.5000 0.0000  2 Cd 2.21

Properties
ΔE to the lowest computed polymorph: 0.281 eV per atom
Magnetization: 5.00 μB per cell
Crystal system: cubic